A plane-wave DFT calculation with PBEsol was carried out for a geometry-optimized K2CaY structure.

Properties
Total magnetization, Bohr magnetons per cell: 1.4
Energy relative to the lowest polymorph listed for this composition, eV per formula unit: 0.00
Electronic total energy, eV/cell: -29.2
E_form, eV/atom: 0.37

a = 3.7963 Å, b = 3.7963 Å, c = 42.9020 Å
α = 90.00°, β = 90.00°, γ = 120.00°
Space group R-3m (No. 166, hexagonal axes)
Symmetry-distinct sites (fractional):
K (0.0000, 0.0000, 0.2476) (multiplicity 6)
Ca (0.0000, 0.0000, 0.0000) (multiplicity 3)
Y (0.0000, 0.0000, 0.5000) (multiplicity 3)